PBE-GGA ReTe2Pt, relaxed; crystal system = tetragonal; ΔE to the lowest computed polymorph = 1.16 eV per formula unit; raw formation energy = 0.496 eV per atom
1.0
3.337 0.000 0.000
0.000 3.337 0.000
0.000 0.000 6.981
Pt Re Te
1 1 2
direct
0.500 0.500 0.250
0.500 0.500 0.750
0.000 0.000 0.989
0.000 0.000 0.511



PBE-GGA ReTePt2, relaxed; crystal system = tetragonal; raw formation energy = 0.545 eV per atom
1.0
5.090 0.006 0.000
1.892 4.725 0.000
-3.491 -2.365 2.850
Pt Re Te
2 1 1
direct
0.000 0.000 0.000
0.500 0.500 0.000
0.250 0.750 0.500
0.750 0.250 0.500



PBE-GGA ReTe2Pt, relaxed; crystal system = tetragonal; ΔE to the lowest computed polymorph = 1.75 eV per formula unit; raw formation energy = 0.645 eV per atom
1.0
-2.759 -0.975 1.858
0.697 -4.489 -1.320
2.777 -0.677 3.769
Pt Re Te
1 1 2
direct
0.500 0.500 0.000
0.500 0.000 0.500
0.000 0.000 0.000
0.000 0.500 0.500



PBE-GGA ReTe2Pt, relaxed; crystal system = trigonal; ΔE to the lowest computed polymorph = 1.12 eV per formula unit; raw formation energy = 0.488 eV per atom
1.0
1.952 0.000 8.905
-0.976 1.690 8.905
-0.976 -1.690 8.905
Re Te Pt
1 2 1
direct
0.500 0.500 0.500
0.904 0.904 0.904
0.096 0.096 0.096
0.000 0.000 0.000



PBE-GGA Re2TePt, relaxed; crystal system = cubic; raw formation energy = 0.809 eV per atom
1.0
-3.204 -0.504 3.256
-4.210 -1.459 -1.126
-1.381 -4.206 1.234
Pt Re Te
1 2 1
direct
0.500 0.500 0.500
0.000 0.000 0.000
0.250 0.250 0.250
0.750 0.750 0.750



PBE-GGA ReTe2Pt, relaxed; crystal system = trigonal; ΔE to the lowest computed polymorph = 2.57 eV per formula unit; raw formation energy = 0.849 eV per atom
1.0
1.480 -1.863 8.468
1.766 -5.074 6.965
4.547 -2.857 6.966
Re Te Pt
1 2 1
direct
0.000 0.000 0.000
0.901 0.901 0.901
0.099 0.099 0.099
0.500 0.500 0.500



PBE-GGA ReTePt2, relaxed; crystal system = monoclinic; raw formation energy = 0.295 eV per atom
1.0
-3.810 2.079 1.256
-1.201 -2.519 0.529
2.466 1.473 5.040
Pt Re Te
2 1 1
direct
0.000 0.948 0.019
0.500 0.085 0.296
0.000 0.653 0.433
0.500 0.813 0.752



PBE-GGA ReTePt2, relaxed; crystal system = orthorhombic; raw formation energy = 0.195 eV per atom
1.0
-2.595 -0.700 -2.612
-1.921 -0.376 2.009
-1.608 6.879 -0.248
Pt Re Te
2 1 1
direct
0.000 0.750 0.048
0.000 0.750 0.452
0.500 0.250 0.250
0.500 0.750 0.750



M_tot: 0.00; 0.01; 0.01; 0.00; 0.00; 0.00; 0.00; 0.75 (Bohr magnetons per cell)
Electronic total energy: -22.79; -25.49; -22.19; -22.82; -30.84; -21.38; -26.49; -26.89 (eV for the cell shown)